(1)
La2Pm2SmIn5 (PBE, relaxed); space-group type = P4/mbm; energy of formation from the pure elements = -0.370 eV/atom
1.0
-3.921 2.665 -0.386
-1.307 -0.317 11.099
6.192 9.255 0.993
In Sm Pm La
10 2 4 4
Direct
0.500 0.060 0.807
0.500 0.693 0.440
0.500 0.940 0.193
0.500 0.440 0.307
0.500 0.193 0.060
0.500 0.807 0.940
0.500 0.307 0.560
0.500 0.000 0.500
0.500 0.500 0.000
0.500 0.560 0.693
0.000 0.000 0.000
0.000 0.500 0.500
0.000 0.628 0.872
0.000 0.872 0.372
0.000 0.128 0.628
0.000 0.372 0.128
0.000 0.676 0.176
0.000 0.324 0.824
0.000 0.176 0.324
0.000 0.824 0.676


(2)
Cs2Li3PbBr8 (PBE, relaxed); space-group type = R3m; formation energy (no corrections) = -1.283 eV/atom
1.0
8.385 0.000 0.000
4.192 7.262 0.000
4.192 2.421 8.866
Pb Br Li Cs
1 8 3 2
Direct
0.938 0.938 0.185
0.834 0.834 0.499
0.327 0.738 0.196
0.254 0.254 0.237
0.738 0.327 0.196
0.210 0.691 0.889
0.210 0.210 0.889
0.738 0.738 0.196
0.691 0.210 0.889
0.452 0.452 0.048
0.452 0.049 0.048
0.049 0.452 0.048
0.126 0.126 0.623
0.475 0.475 0.576


(3)
Pr5Dy2Ho12 (PBE, relaxed); space-group type = P-1; energy of formation from the pure elements = 0.022 eV/atom; relative energy among the computed polymorphs = 0.000 eV/atom
1.0
-0.749 -5.877 1.792
7.891 -3.966 -6.091
-0.488 4.810 11.935
Ho Pr Dy
12 5 2
Direct
0.474 0.052 0.394
0.318 0.368 0.763
0.945 0.104 0.287
0.789 0.423 0.660
0.631 0.739 0.027
0.526 0.948 0.606
0.896 0.209 0.078
0.211 0.577 0.340
0.682 0.632 0.237
0.104 0.791 0.922
0.369 0.261 0.973
0.055 0.896 0.713
0.000 0.000 0.500
0.158 0.685 0.131
0.263 0.474 0.553
0.737 0.526 0.447
0.842 0.315 0.869
0.419 0.155 0.181
0.581 0.845 0.819


(4)
La2Sm3Tm3 (PBE, relaxed); space-group type = Immm; energy of formation from the pure elements = 0.027 eV/atom; relative energy among the computed polymorphs = 0.000 eV/atom
1.0
5.105 0.000 0.000
0.000 5.126 0.000
-2.552 -2.563 10.141
La Tm Sm
2 3 3
Direct
0.250 0.750 0.499
0.750 0.250 0.501
0.000 0.500 0.000
0.122 0.122 0.244
0.878 0.878 0.756
0.500 0.000 0.000
0.379 0.379 0.757
0.621 0.621 0.243


(5)
Pm4In5Hg (PBE, relaxed); space-group type = C2/m; energy of formation from the pure elements = -0.437 eV/atom
1.0
4.645 0.000 -1.593
-0.837 6.147 -2.442
0.735 -0.663 9.715
Hg In Pm
1 5 4
Direct
0.500 0.000 0.000
0.700 0.793 0.399
0.894 0.607 0.788
0.500 0.500 0.000
0.300 0.207 0.601
0.106 0.393 0.212
0.300 0.716 0.600
0.700 0.284 0.400
0.913 0.145 0.826
0.087 0.855 0.174


(6)
NaCuPt (PBE, relaxed); space-group type = Imma; energy of formation from the pure elements = -0.221 eV/atom; relative energy among the computed polymorphs = 0.000 eV/atom
1.0
-4.945 1.654 -0.161
2.257 -1.326 -4.513
1.215 -4.619 2.098
Na Pt Cu
2 2 2
Direct
0.250 0.121 0.871
0.750 0.879 0.129
0.500 0.000 0.500
0.000 0.500 0.500
0.000 0.500 0.000
0.500 0.500 0.500


Number 1: total magnetic moment 0.0 μB/cell, calculated density 7.22 g/cm³. Number 2: total magnetic moment 0.0 μB/cell, calculated density 3.49 g/cm³. Number 3: total magnetic moment 0.0 μB/cell, calculated density 8.14 g/cm³. Number 4: total magnetic moment 0.0 μB/cell, calculated density 7.73 g/cm³. Number 5: total magnetic moment 0.0 μB/cell, calculated density 8.14 g/cm³. Number 6: total magnetic moment 0.0 μB/cell, calculated density 9.23 g/cm³.